Entry 1:
First-principles (PBE-GGA) data for an optimized crystal structure of Pm3Sm8Sc2, as listed in Alexandria via LeMat-Bulk.

**Mass density**: 6.73 g cm⁻³
**Calculated formation energy**: 0.16 eV per atom
**ΔE to the lowest computed polymorph**: 0.000 eV per atom
**Spin magnetization**: 0.00 μB per cell

abc: 6.165 8.760 8.760
angles: 83.09 71.69 71.69
Fractional coordinates of all 13 atoms:
1 Pm 0.500 0.000 0.000
2 Pm 0.000 0.240 0.760
3 Pm 0.000 0.760 0.240
4 Sm 0.211 0.549 0.549
5 Sm 0.789 0.451 0.451
6 Sm 0.943 0.159 0.159
7 Sm 0.057 0.841 0.841
8 Sm 0.669 0.570 0.083
9 Sm 0.669 0.083 0.570
10 Sm 0.331 0.917 0.430
11 Sm 0.331 0.430 0.917
12 Sc 0.351 0.285 0.285
13 Sc 0.649 0.715 0.715

Entry 2:
First-principles (PBE-GGA) data for an optimized crystal structure of Te2BrN, as listed in Alexandria via LeMat-Bulk.

**Mass density**: 5.23 g cm⁻³
**ΔE to the lowest computed polymorph**: 0.080 eV per atom
**Spin magnetization**: 0.00 μB per cell

abc: 5.655 5.655 7.999
angles: 69.30 69.30 90.00
Fractional coordinates of all 8 atoms:
1 Te 0.466 0.125 0.250
2 Te 0.284 0.625 0.250
3 Te 0.375 0.534 0.750
4 Te 0.875 0.716 0.750
5 Br 0.000 0.000 0.000
6 Br 0.750 0.250 0.500
7 N 0.500 0.500 0.000
8 N 0.250 0.750 0.500